DFT (PBE-GGA) results for a relaxed structure of Ir2RhI.

Output
Formation energy (no corrections): 1.1599 eV per atom
DFT total energy: -5.50 eV per atom
Distance to the lowest polymorph of the same formula: 166 meV per atom

abc: 5.393 5.393 7.538
angles: 69.04 69.04 90.00
Positions (direct):
1 Ir 0.150 0.625 0.250
2 Ir 0.375 0.400 0.750
3 Ir 0.875 0.850 0.750
4 Ir 0.600 0.125 0.250
5 I 0.750 0.250 0.500
6 I 0.000 0.000 0.000
7 Rh 0.500 0.500 0.000
8 Rh 0.250 0.750 0.500